DFT (PBE-GGA) results for a relaxed Re2NiSe crystal.

Cell: 3.026 3.026 6.146 Å, 90.00 90.00 90.00°
Atoms (fractional coordinates):
Re  0.000  0.000  0.521
Re  0.000  0.000  0.979
Se  0.500  0.500  0.250
Ni  0.500  0.500  0.750

Output
- formation energy (no corrections) (eV per atom) = 0.433
- uncorrected energy (eV per atom) = -8.107
- magnetization (μB/cell) = 0.00
- DOS at the Fermi energy (states/eV per cell) = 1.865